Compound: ZrCr2Fe
Source: Alexandria
Functional: PBE
Structure: relaxed

Results
- ΔH_f (0 K): 553 meV/atom
- Electronic total energy: -0.6256 Ry/atom
- Energy above the most stable polymorph in this dataset: 421 meV per atom

Lattice parameters (Å, degrees): 8.9301 8.9301 8.9301 17.64 17.64 17.64
With the nearest neighbours (Å) after each atom.
Positions (direct):
Zr  0.7500  0.7500  0.7500  6 Zr 2.74, 6 Cr 2.97
Fe  0.2500  0.2500  0.2500  6 Cr 2.46, 6 Fe 2.74
Cr  0.5120  0.5120  0.5120  3 Fe 2.46, 6 Cr 2.74
Cr  0.9880  0.9880  0.9880  3 Fe 2.46, 6 Cr 2.74


Compound: RbY3Bi
Source: Alexandria
Functional: PBE
Structure: relaxed

Results
- ΔH_f (0 K): 336 meV/atom
- Electronic total energy: -0.3316 Ry/atom
- Energy above the most stable polymorph in this dataset: 0 meV per atom

Lattice parameters (Å, degrees): 6.0394 6.0394 6.0394 90.00 90.00 90.00
With the nearest neighbours (Å) after each atom.
Positions (direct):
Y  0.0000  0.0000  0.5000  2 Bi 3.02
Y  0.5000  0.0000  0.0000  2 Bi 3.02
Bi  0.0000  0.0000  0.0000  6 Y 3.02
Y  0.0000  0.5000  0.0000  2 Bi 3.02
Rb  0.5000  0.5000  0.5000  12 Y 4.27


Compound: RbSrSbO4
Source: Alexandria
Functional: PBE
Structure: relaxed

Results
- Electronic total energy: -0.4126 Ry/atom
- Formation energy without anion corrections: -1.81 eV per atom

Lattice parameters (Å, degrees): 6.6267 7.1293 7.1293 64.73 62.31 62.31
With the nearest neighbours (Å) after each atom.
Positions (direct):
O  0.7451  0.2987  0.2110  1 Sb 1.91
O  0.2404  0.2736  0.7736  1 Sb 1.94
O  0.2549  0.2890  0.2013  1 Sb 1.91
Rb  0.0000  0.0000  0.5000  6 O 2.75-2.79
O  0.7451  0.7110  0.7987  1 Sb 1.91
O  0.2549  0.7013  0.7890  1 Sb 1.91
Sr  0.0000  0.0000  0.0000  6 O 2.59-2.60
Sb  0.3621  0.3879  0.8879  4 O 1.91-1.94
Sr  0.0000  0.5000  0.5000  6 O 2.59-2.60
O  0.7124  0.2736  0.7736  1 Sb 1.94
O  0.2876  0.7264  0.2264  1 Sb 1.94
Rb  0.5000  0.0000  0.5000  6 O 2.75-2.79
Sb  0.6379  0.6121  0.1121  4 O 1.91-1.94
O  0.7596  0.7264  0.2264  1 Sb 1.94


Compound: CaZr4Cl
Source: Alexandria
Functional: PBE
Structure: relaxed

Results
- Electronic total energy: -0.4312 Ry/atom
- Formation energy without anion corrections: 0.47 eV per atom

Lattice parameters (Å, degrees): 6.0954 6.0954 6.0954 60.00 60.00 60.00
With the nearest neighbours (Å) after each atom.
Positions (direct):
Ca  0.7500  0.7500  0.7500  12 Zr 3.56, 4 Cl 3.73
Zr  0.3805  0.3805  0.8586  6 Zr 2.91-3.18
Zr  0.3805  0.8586  0.3805  6 Zr 2.91-3.18
Cl  0.0000  0.0000  0.0000  12 Zr 3.59, 4 Ca 3.73
Zr  0.8586  0.3805  0.3805  6 Zr 2.91-3.18
Zr  0.3805  0.3805  0.3805  6 Zr 2.91-3.18


Compound: TiNi4
Source: Alexandria
Functional: PBE
Structure: relaxed

Results
- ΔH_f (0 K): -7 meV/atom
- Electronic total energy: -0.4565 Ry/atom

Lattice parameters (Å, degrees): 2.5708 2.5708 10.4916 90.00 97.04 120.00
With the nearest neighbours (Å) after each atom.
Positions (direct):
Ti  0.0000  0.0000  0.0000  6 Ti 2.57, 6 Ni 2.63
Ni  0.1940  0.5970  0.7911  9 Ni 2.51-2.57, 3 Ti 2.63
Ni  0.6029  0.8015  0.4044  12 Ni 2.48-2.57
Ni  0.8060  0.4030  0.2089  9 Ni 2.51-2.57, 3 Ti 2.63
Ni  0.3971  0.1985  0.5956  12 Ni 2.48-2.57


Compound: PuSc2CdO8
Source: Alexandria
Functional: PBE
Structure: relaxed

Results
- Electronic total energy: -0.5892 Ry/atom
- Formation energy without anion corrections: -2.39 eV per atom

Lattice parameters (Å, degrees): 4.9075 4.9042 6.7048 90.00 90.00 91.52
With the nearest neighbours (Å) after each atom.
Positions (direct):
O  0.2933  0.2922  0.0000  1 Pu 2.00
O  0.1972  0.8016  0.7881  1 Pu 1.99, 1 Sc 2.15
O  0.6846  0.6855  0.5000  2 Sc 2.02, 1 Cd 2.16
Sc  0.5000  0.5000  0.2657  4 O 2.02-2.15
O  0.1972  0.8016  0.2119  1 Pu 1.99, 1 Sc 2.15
O  0.8028  0.1984  0.7881  1 Pu 1.99, 1 Sc 2.15
Sc  0.5000  0.5000  0.7343  4 O 2.02-2.15
Cd  0.0000  0.0000  0.5000  6 O 2.16-2.38
Pu  0.0000  0.0000  0.0000  6 O 1.99-2.00
O  0.7067  0.7078  0.0000  1 Pu 2.00
O  0.8028  0.1984  0.2119  1 Pu 1.99, 1 Sc 2.15
O  0.3154  0.3145  0.5000  2 Sc 2.02, 1 Cd 2.16


Compound: TaCo2CuH
Source: Alexandria
Functional: PBE
Structure: relaxed

Results
- Electronic total energy: -0.4911 Ry/atom
- Energy above the most stable polymorph in this dataset: 4 meV per atom

Lattice parameters (Å, degrees): 3.8269 3.8269 3.5575 90.00 90.00 90.00
With the nearest neighbours (Å) after each atom.
Positions (direct):
Ta  0.5000  0.5000  0.5000  8 Co 2.61, 4 Cu 2.71
Co  0.5000  0.0000  0.0000  2 H 1.91
H  0.0000  0.0000  0.0000  2 Cu 1.78, 4 Co 1.91
Co  0.0000  0.5000  0.0000  2 H 1.91
Cu  0.0000  0.0000  0.5000  2 H 1.78


Compound: BaFeBi2Rh
Source: Alexandria
Functional: PBE
Structure: relaxed

Results
- ΔH_f (0 K): 2092 meV/atom
- Electronic total energy: -0.2211 Ry/atom

Lattice parameters (Å, degrees): 6.1217 4.7864 6.1217 90.00 90.00 90.00
With the nearest neighbours (Å) after each atom.
Positions (direct):
Fe  0.0000  0.5000  0.0000  2 Ba 2.39
Rh  0.5000  0.5000  0.5000  8 Bi 3.89, 4 Fe 4.33
Bi  0.0000  0.0000  0.5000  2 Ba 3.06
Ba  0.0000  0.0000  0.0000  2 Fe 2.39
Bi  0.5000  0.0000  0.0000  2 Ba 3.06


Compound: CeTh2Ni6
Source: Alexandria
Functional: PBE
Structure: relaxed

Results
- ΔH_f (0 K): -381 meV/atom
- Electronic total energy: -0.4809 Ry/atom
- Energy above the most stable polymorph in this dataset: 0 meV per atom

Lattice parameters (Å, degrees): 3.7148 7.1293 7.1293 120.00 90.00 90.00
With the nearest neighbours (Å) after each atom.
Positions (direct):
Ni  0.5000  0.0000  0.6673  3 Ni 2.37-2.39
Ni  0.5000  0.0000  0.3327  3 Ni 2.37-2.39
Th  0.0000  0.6667  0.3333  12 Ni 3.02
Th  0.0000  0.3333  0.6667  12 Ni 3.02
Ce  0.0000  0.0000  0.0000  12 Ni 3.01
Ni  0.5000  0.3327  0.3327  3 Ni 2.37-2.39
Ni  0.5000  0.3327  0.0000  3 Ni 2.37-2.39
Ni  0.5000  0.6673  0.0000  3 Ni 2.37-2.39
Ni  0.5000  0.6673  0.6673  3 Ni 2.37-2.39


Compound: LiTbPuCo
Source: Alexandria
Functional: PBE
Structure: relaxed

Results
- ΔH_f (0 K): 103 meV/atom
- Electronic total energy: -0.5066 Ry/atom

Lattice parameters (Å, degrees): 4.8459 4.8459 4.8459 60.00 60.00 60.00
With the nearest neighbours (Å) after each atom.
Positions (direct):
Tb  0.5000  0.5000  0.5000  4 Li 2.97, 4 Co 2.97
Pu  0.0000  0.0000  0.0000  4 Co 2.97, 4 Li 2.97
Co  0.7500  0.7500  0.7500  4 Pu 2.97, 4 Tb 2.97
Li  0.2500  0.2500  0.2500  4 Tb 2.97, 4 Pu 2.97


Compound: CaInPb2
Source: Alexandria
Functional: PBE
Structure: relaxed

Results
- ΔH_f (0 K): -320 meV/atom
- Electronic total energy: -0.2469 Ry/atom

Lattice parameters (Å, degrees): 4.9781 4.9694 4.6907 90.00 90.00 90.00
With the nearest neighbours (Å) after each atom.
Positions (direct):
Pb  0.0000  0.0000  0.0000  4 In 3.42, 4 Ca 3.42, 4 Pb 3.52
Pb  0.5000  0.5000  0.0000  4 Ca 3.42, 4 In 3.42, 4 Pb 3.52
Ca  0.5000  0.0000  0.5000  8 Pb 3.42, 4 In 3.52
In  0.0000  0.5000  0.5000  8 Pb 3.42, 4 Ca 3.52


Compound: MgSc4Cu2Pt
Source: Alexandria
Functional: PBE
Structure: relaxed

Results
- ΔH_f (0 K): -471 meV/atom
- Electronic total energy: -0.4127 Ry/atom

Lattice parameters (Å, degrees): 4.7124 4.7124 8.2752 73.46 73.46 60.00
With the nearest neighbours (Å) after each atom.
Positions (direct):
Pt  0.5000  0.5000  0.5000  8 Sc 2.74-2.85
Mg  0.0000  0.0000  0.0000  8 Sc 2.96-3.06, 6 Cu 3.19
Sc  0.3831  0.3831  0.8507  1 Pt 2.74, 4 Cu 2.77-2.84, 3 Mg 2.96
Sc  0.1303  0.1303  0.6090  3 Pt 2.85, 4 Cu 3.05-3.09, 1 Mg 3.06
Sc  0.6169  0.6169  0.1493  1 Pt 2.74, 4 Cu 2.77-2.84, 3 Mg 2.96
Sc  0.8697  0.8697  0.3910  3 Pt 2.85, 4 Cu 3.05-3.09, 1 Mg 3.06
Cu  0.7381  0.7381  0.7858  8 Sc 2.77-3.09
Cu  0.2619  0.2619  0.2142  8 Sc 2.77-3.09


Compound: BaCe4
Source: Alexandria
Functional: PBE
Structure: relaxed

Results
- ΔH_f (0 K): 991 meV/atom
- Electronic total energy: -0.3043 Ry/atom

Lattice parameters (Å, degrees): 5.7965 5.7965 5.7965 90.00 90.00 90.00
With the nearest neighbours (Å) after each atom.
Positions (direct):
Ce  0.0000  0.0000  0.0000  12 Ce 4.10
Ce  0.5000  0.0000  0.5000  2 Ba 2.90
Ce  0.0000  0.5000  0.5000  2 Ba 2.90
Ba  0.5000  0.5000  0.5000  6 Ce 2.90
Ce  0.5000  0.5000  0.0000  2 Ba 2.90


Compound: La5Sm6
Source: Alexandria
Functional: PBE
Structure: relaxed

Results
- ΔH_f (0 K): 128 meV/atom
- Electronic total energy: -0.3444 Ry/atom
- Energy above the most stable polymorph in this dataset: 24 meV per atom

Lattice parameters (Å, degrees): 5.8095 8.8467 10.0182 79.02 54.58 70.83
With the nearest neighbours (Å) after each atom.
Positions (direct):
Sm  0.2834  0.0000  0.2156  5 Sm 3.52-3.66, 6 La 3.62-3.72
La  0.6893  0.6214  0.0000  8 Sm 3.44-3.62, 2 La 3.54
La  0.3107  0.3786  0.0000  8 Sm 3.44-3.62, 2 La 3.54
Sm  0.3453  0.7346  0.7877  4 La 3.23-3.51, 1 Sm 3.47
Sm  0.7166  0.0000  0.7844  5 Sm 3.52-3.66, 6 La 3.62-3.72
La  0.5000  0.0000  0.5000  4 Sm 3.23
Sm  0.6547  0.2654  0.2123  4 La 3.23-3.51, 1 Sm 3.47
La  0.8311  0.3379  0.5000  8 Sm 3.66-4.06, 4 La 3.97-4.05
La  0.1689  0.6621  0.5000  8 Sm 3.66-4.06, 4 La 3.97-4.05
Sm  0.9200  0.7346  0.2123  4 La 3.23-3.51, 1 Sm 3.47
Sm  0.0800  0.2654  0.7877  4 La 3.23-3.51, 1 Sm 3.47


Compound: AgHg3
Source: Alexandria
Functional: PBE
Structure: relaxed

Results
- ΔH_f (0 K): 118 meV/atom
- Electronic total energy: -0.0603 Ry/atom

Lattice parameters (Å, degrees): 5.6924 5.6924 5.6924 90.00 90.00 90.00
With the nearest neighbours (Å) after each atom.
Positions (direct):
Hg  0.5000  0.0000  0.2500  2 Hg 2.85, 4 Ag 3.18
Hg  0.2500  0.5000  0.0000  2 Hg 2.85, 4 Ag 3.18
Hg  0.0000  0.2500  0.5000  2 Hg 2.85, 4 Ag 3.18
Hg  0.7500  0.5000  0.0000  2 Hg 2.85, 4 Ag 3.18
Hg  0.0000  0.7500  0.5000  2 Hg 2.85, 4 Ag 3.18
Ag  0.5000  0.5000  0.5000  12 Hg 3.18
Hg  0.5000  0.0000  0.7500  2 Hg 2.85, 4 Ag 3.18
Ag  0.0000  0.0000  0.0000  12 Hg 3.18


Compound: BeTlOs
Source: Alexandria
Functional: PBE
Structure: relaxed

Results
- ΔH_f (0 K): 453 meV/atom
- Electronic total energy: -0.3911 Ry/atom
- Energy above the most stable polymorph in this dataset: 0 meV per atom

Lattice parameters (Å, degrees): 5.3538 5.3538 5.3538 146.12 146.12 48.67
With the nearest neighbours (Å) after each atom.
Positions (direct):
Os  0.3789  0.3789  0.0000  4 Be 2.31
Be  0.9498  0.9498  0.0000  4 Os 2.31
Tl  0.6713  0.6713  0.0000  1 Be 2.72, 5 Os 2.85-2.99


Compound: Na3Mn2VSe6
Source: Alexandria
Functional: PBE
Structure: relaxed

Results
- Electronic total energy: -0.3773 Ry/atom
- Formation energy without anion corrections: -0.77 eV per atom

Lattice parameters (Å, degrees): 6.6086 6.6086 7.1820 98.82 98.82 120.03
With the nearest neighbours (Å) after each atom.
Positions (direct):
Na  0.8319  0.1681  0.5000  6 Se 2.99-3.00
Se  0.0679  0.3986  0.2023  1 V 2.59, 2 Mn 2.61
Na  0.5000  0.5000  0.5000  6 Se 2.99-3.01
V  0.0000  0.0000  0.0000  6 Se 2.59
Mn  0.6665  0.3335  0.0000  6 Se 2.61
Se  0.7369  0.7369  0.2030  1 V 2.59, 2 Mn 2.61
Se  0.3986  0.0679  0.2023  1 V 2.59, 2 Mn 2.61
Mn  0.3335  0.6665  0.0000  6 Se 2.61
Se  0.9321  0.6014  0.7977  1 V 2.59, 2 Mn 2.61
Na  0.1681  0.8319  0.5000  6 Se 2.99-3.00
Se  0.2631  0.2631  0.7970  1 V 2.59, 2 Mn 2.61
Se  0.6014  0.9321  0.7977  1 V 2.59, 2 Mn 2.61


Compound: AlPtRh2
Source: Alexandria
Functional: PBE
Structure: relaxed

Results
- ΔH_f (0 K): -395 meV/atom
- Electronic total energy: -0.4790 Ry/atom

Lattice parameters (Å, degrees): 4.3647 4.3647 4.3647 60.00 60.00 60.00
With the nearest neighbours (Å) after each atom.
Positions (direct):
Pt  0.5000  0.5000  0.5000  8 Rh 2.67
Al  0.0000  0.0000  0.0000  8 Rh 2.67
Rh  0.7500  0.7500  0.7500  4 Pt 2.67, 4 Al 2.67
Rh  0.2500  0.2500  0.2500  4 Pt 2.67, 4 Al 2.67


Compound: LuInFe4
Source: Alexandria
Functional: PBE
Structure: relaxed

Results
- ΔH_f (0 K): -106 meV/atom
- Electronic total energy: -0.5113 Ry/atom

Lattice parameters (Å, degrees): 5.0149 5.0149 5.0149 60.00 60.00 60.00
With the nearest neighbours (Å) after each atom.
Positions (direct):
Fe  0.1242  0.6253  0.6253  6 Fe 2.50-2.51
Fe  0.6253  0.6253  0.6253  6 Fe 2.50-2.51
In  0.0000  0.0000  0.0000  12 Fe 2.94, 4 Lu 3.07
Fe  0.6253  0.1242  0.6253  6 Fe 2.50-2.51
Fe  0.6253  0.6253  0.1242  6 Fe 2.50-2.51
Lu  0.2500  0.2500  0.2500  12 Fe 2.94, 4 In 3.07


Compound: Ac2LaPm2
Source: Alexandria
Functional: PBE
Structure: relaxed

Results
- ΔH_f (0 K): 42 meV/atom
- Electronic total energy: -0.3298 Ry/atom
- Energy above the most stable polymorph in this dataset: 0 meV per atom

Lattice parameters (Å, degrees): 3.8234 3.8234 15.4997 90.00 90.00 120.00
With the nearest neighbours (Å) after each atom.
Positions (direct):
Pm  0.3333  0.6667  0.3080  3 La 3.71, 3 Ac 3.80, 6 Pm 3.82
La  0.0000  0.0000  0.5000  6 Pm 3.71, 6 La 3.82
Ac  0.6667  0.3333  0.1087  3 Pm 3.80, 9 Ac 3.82-4.03
Ac  0.3333  0.6667  0.8913  3 Pm 3.80, 9 Ac 3.82-4.03
Pm  0.6667  0.3333  0.6920  3 La 3.71, 3 Ac 3.80, 6 Pm 3.82